## Pr4GaPtBr2 (PBE)

Data for crystalline Pr4GaPtBr2 at its relaxed geometry.

## Properties
For the density of states at the Fermi level, the calculation gives 0.936 states/eV per atom. As for the uncorrected formation energy: -1.0369 eV/atom.

Cell lengths 7.7672, 4.1383, 7.8514 Å; angles 90.00, 107.60, 90.00 degrees
Space group P2/m (No. 10)
Symmetry-distinct sites (fractional):
Pr (0.2289, 0.0000, 0.2045) [2 per cell]
Pr (0.2508, 0.5000, 0.7752) [2 per cell]
Ga (0.5000, 0.0000, 0.0000) [1 per cell]
Pt (0.0000, 0.5000, 0.0000) [1 per cell]
Br (0.0000, 0.0000, 0.5000) [1 per cell]
Br (0.5000, 0.5000, 0.5000) [1 per cell]